Version A
4
Lattice="0.000 3.192 3.192 3.192 0.000 3.192 3.192 3.192 0.000" Properties=species:S:1:pos:R:3 comment="HfBeNiPb | OQMD | PBE-GGA | relaxed" spacegroup=F-43m pbc="T T T"
Hf 0.000 0.000 0.000
Be 1.596 1.596 1.596
Ni 4.788 4.788 4.788
Pb 3.192 3.192 3.192

---

Version B
4
Lattice="0.000 3.239 3.239 3.239 0.000 3.239 3.239 3.239 0.000" Properties=species:S:1:pos:R:3 comment="HfBeNiPb | OQMD | PBE-GGA | relaxed" spacegroup=F-43m pbc="T T T"
Hf 0.000 0.000 0.000
Be 4.858 4.858 4.858
Ni 3.239 3.239 3.239
Pb 1.619 1.619 1.619

---

It is version A that is most stable; the runner-up trails by 20.9 kJ/mol of atoms.

---

Version A
4
Lattice="0.000 2.991 2.991 2.991 0.000 2.991 2.991 2.991 0.000" Properties=species:S:1:pos:R:3 comment="HfBeSiNi | OQMD | PBE-GGA | relaxed" spacegroup=F-43m pbc="T T T"
Hf 0.000 0.000 0.000
Be 4.486 4.486 4.486
Si 1.495 1.495 1.495
Ni 2.991 2.991 2.991

---

Version B
4
Lattice="0.000 2.970 2.970 2.970 0.000 2.970 2.970 2.970 0.000" Properties=species:S:1:pos:R:3 comment="HfBeSiNi | OQMD | PBE-GGA | relaxed" spacegroup=F-43m pbc="T T T"
Hf 0.000 0.000 0.000
Be 1.485 1.485 1.485
Si 2.970 2.970 2.970
Ni 4.456 4.456 4.456

---

It is version B that is most stable; the runner-up trails by 6.7 kJ/mol of atoms.

---

Version A
4
Lattice="0.000 3.282 3.282 3.282 0.000 3.282 3.282 3.282 0.000" Properties=species:S:1:pos:R:3 comment="SrHfBeNi | OQMD | PBE-GGA | relaxed" spacegroup=F-43m pbc="T T T"
Sr 0.000 0.000 0.000
Hf 4.922 4.922 4.922
Be 1.641 1.641 1.641
Ni 3.282 3.282 3.282

---

Version B
4
Lattice="0.000 3.376 3.376 3.376 0.000 3.376 3.376 3.376 0.000" Properties=species:S:1:pos:R:3 comment="SrHfBeNi | OQMD | PBE-GGA | relaxed" spacegroup=F-43m pbc="T T T"
Sr 0.000 0.000 0.000
Hf 3.376 3.376 3.376
Be 1.688 1.688 1.688
Ni 5.064 5.064 5.064

---

It is version B that is most stable; the runner-up trails by 18.1 kJ/mol of atoms.

---

Version A
4
Lattice="0.000 3.150 3.150 3.150 0.000 3.150 3.150 3.150 0.000" Properties=species:S:1:pos:R:3 comment="HfBeTlNi | OQMD | PBE-GGA | relaxed" spacegroup=F-43m pbc="T T T"
Hf 0.000 0.000 0.000
Be 1.575 1.575 1.575
Tl 3.150 3.150 3.150
Ni 4.725 4.725 4.725

---

Version B
4
Lattice="0.000 3.199 3.199 3.199 0.000 3.199 3.199 3.199 0.000" Properties=species:S:1:pos:R:3 comment="HfBeTlNi | OQMD | PBE-GGA | relaxed" spacegroup=F-43m pbc="T T T"
Hf 0.000 0.000 0.000
Be 4.798 4.798 4.798
Tl 1.599 1.599 1.599
Ni 3.199 3.199 3.199

---

It is version A that is most stable; the runner-up trails by 23.5 kJ/mol of atoms.